Version P
Density functional theory data (PBE-GGA) for an optimized crystal structure of Cs3CuF5.

Unit cell a=8.683 b=8.683 c=8.683 alpha=124.81 beta=124.81 gamma=81.85
Atoms (fractional coordinates):
Cs1 0.178 0.678 0.856
Cs2 0.250 0.250 0.000
Cs3 0.322 0.178 0.500
Cs4 0.678 0.822 0.500
Cs5 0.750 0.750 0.000
Cs6 0.822 0.322 0.144
Cu1 0.250 0.750 0.500
Cu2 0.750 0.250 0.500
F1 0.000 0.000 0.000
F2 0.026 0.782 0.500
F3 0.218 0.718 0.244
F4 0.282 0.526 0.500
F5 0.474 0.974 0.756
F6 0.500 0.500 0.000
F7 0.526 0.026 0.244
F8 0.718 0.474 0.500
F9 0.782 0.282 0.756
F10 0.974 0.218 0.500

Calculated values
Total moment   0.111 μB per atom
Crystal system   tetragonal
Fermi-level density of states   0.7724 states/eV per atom

Version Q
Density functional theory data (PBE-GGA) for an optimized crystal structure of Cs3CuF5.

Unit cell a=7.955 b=7.955 c=6.700 alpha=90.00 beta=90.00 gamma=90.00
Atoms (fractional coordinates):
Cs1 0.000 0.000 0.000
Cs2 0.179 0.321 0.500
Cs3 0.321 0.821 0.500
Cs4 0.500 0.500 0.000
Cs5 0.679 0.179 0.500
Cs6 0.821 0.679 0.500
Cu1 0.000 0.500 0.000
Cu2 0.500 0.000 0.000
F1 0.000 0.000 0.500
F2 0.121 0.621 0.198
F3 0.121 0.621 0.802
F4 0.379 0.121 0.198
F5 0.379 0.121 0.802
F6 0.500 0.500 0.500
F7 0.621 0.879 0.198
F8 0.621 0.879 0.802
F9 0.879 0.379 0.198
F10 0.879 0.379 0.802

Calculated values
Total moment   0.111 μB per atom
Crystal system   tetragonal

Taking the most stable structure as the zero point, the relative energies in meV per atom are version P 57; version Q 0.

Version P
Density functional theory data (PBE-GGA) for an optimized crystal structure of CsCu2F.

Unit cell a=14.519 b=14.519 c=14.519 alpha=165.12 beta=165.12 gamma=21.10
Atoms (fractional coordinates):
Cs1 0.000 0.000 0.000
Cs2 0.750 0.250 0.500
Cu1 0.128 0.625 0.003
Cu2 0.375 0.378 0.503
Cu3 0.622 0.125 0.997
Cu4 0.875 0.872 0.497
F1 0.250 0.750 0.500
F2 0.500 0.500 0.000

Calculated values
Total moment   0.000 μB per atom
Crystal system   tetragonal
Fermi-level density of states   0.2823 states/eV per atom

Version Q
Density functional theory data (PBE-GGA) for an optimized crystal structure of CsCu2F.

Unit cell a=4.986 b=4.986 c=4.986 alpha=60.00 beta=60.00 gamma=60.00
Atoms (fractional coordinates):
Cs1 0.000 0.000 0.000
Cu1 0.250 0.250 0.250
Cu2 0.750 0.750 0.750
F1 0.500 0.500 0.500

Calculated values
Total moment   0.000 μB per atom
Crystal system   cubic
Fermi-level density of states   0.5512 states/eV per atom

Taking the most stable structure as the zero point, the relative energies in meV per atom are version P 0; version Q 921.